# CaBeZn

A geometry-optimized CaBeZn structure (PBE-GGA, Alexandria).

Results
Total moment ... 0.00 μB/f.u.
Calculated total energy ... -6.07 eV per cell
Offset from the most stable computed form ... 6.28 kcal/mol of atoms
DFT formation energy ... 311 meV/atom

abc: 4.4901 4.4901 4.4901
angles: 60.00 60.00 60.00
Last column: nearest neighbours and their distance in Å.
Fractional coordinates of all 3 atoms:
Ca  0.0000  0.0000  0.0000  4 Be 2.75
Be  0.7500  0.7500  0.7500  4 Zn 2.75, 4 Ca 2.75
Zn  0.5000  0.5000  0.5000  4 Be 2.75

---

# CaBe4Zn

A geometry-optimized CaBe4Zn structure (PBE-GGA, Alexandria).

Results
Total moment ... 0.00 μB/f.u.
Calculated total energy ... -16.61 eV per cell
DFT formation energy ... 261 meV/atom

abc: 4.7693 4.7693 4.7693
angles: 60.00 60.00 60.00
Last column: nearest neighbours and their distance in Å.
Fractional coordinates of all 6 atoms:
Ca  0.0000  0.0000  0.0000  12 Be 2.80, 4 Zn 2.92
Be  0.1247  0.6251  0.6251  6 Be 2.38-2.39
Be  0.6251  0.1247  0.6251  6 Be 2.38-2.39
Be  0.6251  0.6251  0.1247  6 Be 2.38-2.39
Be  0.6251  0.6251  0.6251  6 Be 2.38-2.39
Zn  0.2500  0.2500  0.2500  12 Be 2.80, 4 Ca 2.92

---

# CaBeZn

A geometry-optimized CaBeZn structure (PBE-GGA, Alexandria).

Results
Total moment ... 0.00 μB/f.u.
Calculated total energy ... -6.88 eV per cell
Offset from the most stable computed form ... 0.00 kcal/mol of atoms
DFT formation energy ... 39 meV/atom

abc: 4.2212 4.2212 3.8599
angles: 90.00 90.00 120.00
Last column: nearest neighbours and their distance in Å.
Fractional coordinates of all 3 atoms:
Ca  0.0000  0.0000  0.0000  6 Be 3.11, 6 Zn 3.11
Be  0.6667  0.3333  0.5000  3 Zn 2.44
Zn  0.3333  0.6667  0.5000  3 Be 2.44

---

# CaBe2Zn9

A geometry-optimized CaBe2Zn9 structure (PBE-GGA, Alexandria).

Results
Total moment ... 0.00 μB/f.u.
Calculated total energy ... -44.60 eV per cell
DFT formation energy ... -115 meV/atom

abc: 8.0378 8.0378 8.0378
angles: 99.84 99.84 131.17
Last column: nearest neighbours and their distance in Å.
Fractional coordinates of all 24 atoms:
Ca  0.3750  0.6250  0.7500  18 Zn 3.21-3.36, 4 Be 3.59
Ca  0.6250  0.3750  0.2500  18 Zn 3.21-3.36, 4 Be 3.59
Be  0.0000  0.0000  0.0000  10 Zn 2.48-2.72
Be  0.0000  0.0000  0.5000  10 Zn 2.48-2.72
Be  0.0000  0.5000  0.0000  10 Zn 2.48-2.72
Be  0.5000  0.0000  0.5000  10 Zn 2.48-2.72
Zn  0.1250  0.8750  0.2500  4 Be 2.72, 8 Zn 2.74
Zn  0.1402  0.5659  0.3299  2 Be 2.48-2.51, 8 Zn 2.53-2.77
Zn  0.1402  0.8103  0.5742  2 Be 2.48-2.51, 8 Zn 2.53-2.77
Zn  0.1897  0.2640  0.3299  2 Be 2.48-2.51, 8 Zn 2.53-2.77
Zn  0.1897  0.8598  0.9258  2 Be 2.48-2.51, 8 Zn 2.53-2.77
Zn  0.2640  0.1897  0.8299  2 Be 2.48-2.51, 8 Zn 2.53-2.77
Zn  0.2640  0.4341  0.0742  2 Be 2.48-2.51, 8 Zn 2.53-2.77
Zn  0.4341  0.2640  0.5742  2 Be 2.48-2.51, 8 Zn 2.53-2.77
Zn  0.4341  0.8598  0.1701  2 Be 2.48-2.51, 8 Zn 2.53-2.77
Zn  0.5659  0.1402  0.8299  2 Be 2.48-2.51, 8 Zn 2.53-2.77
Zn  0.5659  0.7360  0.4258  2 Be 2.48-2.51, 8 Zn 2.53-2.77
Zn  0.7360  0.5659  0.9258  2 Be 2.48-2.51, 8 Zn 2.53-2.77
Zn  0.7360  0.8103  0.1701  2 Be 2.48-2.51, 8 Zn 2.53-2.77
Zn  0.8103  0.1402  0.0742  2 Be 2.48-2.51, 8 Zn 2.53-2.77
Zn  0.8103  0.7360  0.6701  2 Be 2.48-2.51, 8 Zn 2.53-2.77
Zn  0.8598  0.1897  0.4258  2 Be 2.48-2.51, 8 Zn 2.53-2.77
Zn  0.8598  0.4341  0.6701  2 Be 2.48-2.51, 8 Zn 2.53-2.77
Zn  0.8750  0.1250  0.7500  4 Be 2.72, 8 Zn 2.74

---

# CaBe2Zn

A geometry-optimized CaBe2Zn structure (PBE-GGA, Alexandria).

Results
Total moment ... 0.00 μB/f.u.
Calculated total energy ... -10.70 eV per cell
DFT formation energy ... 8 meV/atom

abc: 5.6200 5.6200 5.6200
angles: 40.91 40.91 40.91
Last column: nearest neighbours and their distance in Å.
Fractional coordinates of all 4 atoms:
Ca  0.0000  0.0000  0.0000  4 Be 2.89-3.19, 4 Zn 2.91-3.19
Be  0.4916  0.4916  0.4916  3 Be 2.28, 3 Zn 2.31
Be  0.8124  0.8124  0.8124  3 Be 2.28, 3 Zn 2.36
Zn  0.1884  0.1884  0.1884  6 Be 2.31-2.36

---

# CaBe2Zn

A geometry-optimized CaBe2Zn structure (PBE-GGA, Alexandria).

Results
Total moment ... 0.00 μB/f.u.
Calculated total energy ... -9.69 eV per cell
DFT formation energy ... 259 meV/atom

abc: 2.8303 3.0886 6.9650
angles: 90.00 90.00 90.00
Last column: nearest neighbours and their distance in Å.
Fractional coordinates of all 4 atoms:
Ca  0.0000  0.0000  0.0000  4 Ca 2.83-3.09, 5 Be 3.01-3.11, 4 Zn 3.13
Be  0.0000  0.0000  0.5540  4 Be 2.30
Be  0.5000  0.5000  0.6898  4 Be 2.30, 1 Zn 2.48
Zn  0.5000  0.5000  0.3342  5 Be 2.48-2.59

---

# CaBe2Zn

A geometry-optimized CaBe2Zn structure (PBE-GGA, Alexandria).

Results
Total moment ... 0.00 μB/f.u.
Calculated total energy ... -19.66 eV per cell
DFT formation energy ... 225 meV/atom

abc: 8.5711 8.5711 8.5711
angles: 150.78 150.78 41.80
Last column: nearest neighbours and their distance in Å.
Fractional coordinates of all 8 atoms:
Ca  0.3750  0.6250  0.7500  4 Zn 3.06, 8 Be 3.14
Ca  0.6250  0.3750  0.2500  4 Zn 3.06, 8 Be 3.14
Be  0.0000  0.0000  0.0000  2 Be 2.16, 2 Zn 2.28
Be  0.0000  0.0000  0.5000  2 Be 2.16, 2 Zn 2.28
Be  0.0000  0.5000  0.0000  2 Be 2.16, 2 Zn 2.28
Be  0.5000  0.0000  0.5000  2 Be 2.16, 2 Zn 2.28
Zn  0.1250  0.8750  0.2500  4 Be 2.28
Zn  0.8750  0.1250  0.7500  4 Be 2.28

---

# CaBe2Zn4

A geometry-optimized CaBe2Zn4 structure (PBE-GGA, Alexandria).

Results
Total moment ... 0.00 μB/f.u.
Calculated total energy ... -8.77 eV per cell
DFT formation energy ... 826 meV/atom

abc: 7.2480 7.2480 7.2480
angles: 138.62 138.62 59.96
Last column: nearest neighbours and their distance in Å.
Fractional coordinates of all 7 atoms:
Ca  0.0000  0.0000  0.0000  4 Zn 2.56
Be  0.4195  0.4195  0.0000  1 Be 2.02
Be  0.5805  0.5805  0.0000  1 Be 2.02
Zn  0.0000  0.5000  0.5000  2 Ca 2.56, 4 Be 2.75
Zn  0.2387  0.2387  0.0000  1 Be 2.27
Zn  0.5000  0.0000  0.5000  2 Ca 2.56, 4 Be 2.75
Zn  0.7613  0.7613  0.0000  1 Be 2.27

---

# CaBe3Zn

A geometry-optimized CaBe3Zn structure (PBE-GGA, Alexandria).

Results
Total moment ... 0.00 μB/f.u.
Calculated total energy ... -4.42 eV per cell
Offset from the most stable computed form ... 36.36 kcal/mol of atoms
DFT formation energy ... 2006 meV/atom

abc: 5.3527 5.3527 5.3527
angles: 90.00 90.00 90.00
Last column: nearest neighbours and their distance in Å.
Fractional coordinates of all 5 atoms:
Ca  0.0000  0.0000  0.0000  6 Be 2.68
Be  0.0000  0.0000  0.5000  2 Ca 2.68
Be  0.0000  0.5000  0.0000  2 Ca 2.68
Be  0.5000  0.0000  0.0000  2 Ca 2.68
Zn  0.5000  0.5000  0.5000  12 Be 3.78

---

# CaBeZn

A geometry-optimized CaBeZn structure (PBE-GGA, Alexandria).

Results
Total moment ... 0.00 μB/f.u.
Calculated total energy ... -6.56 eV per cell
Offset from the most stable computed form ... 2.50 kcal/mol of atoms
DFT formation energy ... 147 meV/atom

abc: 5.7445 5.7445 5.7445
angles: 147.29 147.29 46.94
Last column: nearest neighbours and their distance in Å.
Fractional coordinates of all 3 atoms:
Ca  0.0000  0.0000  0.0000  5 Zn 3.06-3.18, 5 Be 3.12-3.14, 4 Ca 3.24
Be  0.7016  0.7016  0.0000  4 Zn 2.47
Zn  0.2903  0.2903  0.0000  4 Be 2.47

---

# CaBe2Zn

A geometry-optimized CaBe2Zn structure (PBE-GGA, Alexandria).

Results
Total moment ... 0.00 μB/f.u.
Calculated total energy ... -8.10 eV per cell
DFT formation energy ... 656 meV/atom

abc: 5.2842 5.2842 2.7069
angles: 98.65 98.65 114.69
Last column: nearest neighbours and their distance in Å.
Fractional coordinates of all 4 atoms:
Ca  0.0000  0.0000  0.0000  2 Ca 2.71, 4 Be 2.78, 2 Zn 2.85
Be  0.0000  0.5000  0.5000  4 Be 2.71-2.85, 2 Zn 2.78, 2 Ca 2.78
Be  0.5000  0.0000  0.5000  4 Be 2.71-2.85, 2 Zn 2.78, 2 Ca 2.78
Zn  0.5000  0.5000  0.0000  2 Zn 2.71, 4 Be 2.78, 2 Ca 2.85

---

# CaBe2Zn

A geometry-optimized CaBe2Zn structure (PBE-GGA, Alexandria).

Results
Total moment ... 0.00 μB/f.u.
Calculated total energy ... -9.81 eV per cell
DFT formation energy ... 229 meV/atom

abc: 3.7765 5.5973 5.5973
angles: 34.75 90.00 90.00
Last column: nearest neighbours and their distance in Å.
Fractional coordinates of all 4 atoms:
Ca  0.0000  0.0000  0.0000  7 Be 2.91-2.95
Be  0.0000  0.2728  0.2728  2 Be 2.10
Be  0.5000  0.3596  0.3596  2 Be 2.10, 2 Zn 2.33
Zn  0.5000  0.7075  0.7075  2 Be 2.33